Below is a geometry-optimized Ti3Nb4Re2 structure, with properties calculated at the PBE-GGA level.

Properties
Fermi-level density of states ... 1.335 states/eV/atom
Calculated formation energy ... -119 kJ/mol of formula units
Electronic total energy ... -90.09 eV/f.u.

Cell lengths 7.0378, 7.0378, 7.2458 Å; angles 106.67, 106.67, 26.15 degrees
Element x y z (fractional)
1 Ti 0.0000 0.0000 0.0000
2 Ti 0.1155 0.1155 0.6917
3 Ti 0.8845 0.8845 0.3083
4 Nb 0.2178 0.2178 0.3236
5 Nb 0.4462 0.4462 0.6637
6 Nb 0.5538 0.5538 0.3363
7 Nb 0.7822 0.7822 0.6764
8 Re 0.3309 0.3309 0.9971
9 Re 0.6691 0.6691 0.0029